Run 1
Li3BPd4 after structural relaxation, computed with PBE.

```
data_Li3BPd4
_chemical_formula_sum 'Li3 B1 Pd4'
_cell_length_a 6.615
_cell_length_b 6.615
_cell_length_c 4.045
_cell_angle_alpha 107.59
_cell_angle_beta 107.59
_cell_angle_gamma 35.60
_symmetry_space_group_name_H-M 'P 1'
_symmetry_Int_Tables_number 1
_symmetry_space_group_name_Hall 'P 1'
loop_
_atom_site_label
_atom_site_type_symbol
_atom_site_fract_x
_atom_site_fract_y
_atom_site_fract_z
_atom_site_occupancy
Li1 Li 0.000 0.000 0.000 1
Li2 Li 0.249 0.249 0.249 1
Li3 Li 0.751 0.751 0.751 1
B1 B 0.500 0.500 0.500 1
Pd1 Pd 0.115 0.115 0.616 1
Pd2 Pd 0.385 0.385 0.883 1
Pd3 Pd 0.615 0.615 0.117 1
Pd4 Pd 0.885 0.885 0.384 1
```

Run 2
Li3BPd4 after structural relaxation, computed with PBE.

```
data_Li3BPd4
_chemical_formula_sum 'Li3 B1 Pd4'
_cell_length_a 5.742
_cell_length_b 5.742
_cell_length_c 5.742
_cell_angle_alpha 124.18
_cell_angle_beta 104.33
_cell_angle_gamma 100.99
_symmetry_space_group_name_H-M 'P 1'
_symmetry_Int_Tables_number 1
_symmetry_space_group_name_Hall 'P 1'
loop_
_atom_site_label
_atom_site_type_symbol
_atom_site_fract_x
_atom_site_fract_y
_atom_site_fract_z
_atom_site_occupancy
Li1 Li 0.000 0.000 0.000 1
Li2 Li 0.387 0.628 0.759 1
Li3 Li 0.869 0.628 0.241 1
B1 B 0.563 0.063 0.500 1
Pd1 Pd 0.362 0.113 0.751 1
Pd2 Pd 0.362 0.611 0.249 1
Pd3 Pd 0.568 0.260 0.307 1
Pd4 Pd 0.953 0.260 0.693 1
```

In terms of stability, run 1 leads; the second structure lies 9.4 kJ/mol of atoms higher.

Run 1
LiB2Pd2 after structural relaxation, computed with PBE.

```
data_LiB2Pd2
_chemical_formula_sum 'Li1 B2 Pd2'
_cell_length_a 6.544
_cell_length_b 6.544
_cell_length_c 6.544
_cell_angle_alpha 153.22
_cell_angle_beta 153.22
_cell_angle_gamma 38.24
_symmetry_space_group_name_H-M 'P 1'
_symmetry_Int_Tables_number 1
_symmetry_space_group_name_Hall 'P 1'
loop_
_atom_site_label
_atom_site_type_symbol
_atom_site_fract_x
_atom_site_fract_y
_atom_site_fract_z
_atom_site_occupancy
Li1 Li 0.000 0.000 0.000 1
B1 B 0.250 0.750 0.500 1
B2 B 0.750 0.250 0.500 1
Pd1 Pd 0.376 0.376 0.000 1
Pd2 Pd 0.624 0.624 0.000 1
```

Run 2
LiB2Pd2 after structural relaxation, computed with PBE.

```
data_LiB2Pd2
_chemical_formula_sum 'Li2 B4 Pd4'
_cell_length_a 6.197
_cell_length_b 6.197
_cell_length_c 2.811
_cell_angle_alpha 90.00
_cell_angle_beta 90.00
_cell_angle_gamma 90.00
_symmetry_space_group_name_H-M 'P 1'
_symmetry_Int_Tables_number 1
_symmetry_space_group_name_Hall 'P 1'
loop_
_atom_site_label
_atom_site_type_symbol
_atom_site_fract_x
_atom_site_fract_y
_atom_site_fract_z
_atom_site_occupancy
Li1 Li 0.000 0.000 0.000 1
Li2 Li 0.500 0.500 0.000 1
B1 B 0.094 0.406 0.000 1
B2 B 0.406 0.906 0.000 1
B3 B 0.594 0.094 0.000 1
B4 B 0.906 0.594 0.000 1
Pd1 Pd 0.212 0.712 0.500 1
Pd2 Pd 0.288 0.212 0.500 1
Pd3 Pd 0.712 0.788 0.500 1
Pd4 Pd 0.788 0.288 0.500 1
```

In terms of stability, run 2 leads; the second structure lies 18.4 kJ/mol of atoms higher.

Run 1
Li3BPd after structural relaxation, computed with PBE.

```
data_Li3BPd
_chemical_formula_sum 'Li3 B1 Pd1'
_cell_length_a 4.115
_cell_length_b 4.115
_cell_length_c 4.115
_cell_angle_alpha 90.00
_cell_angle_beta 90.00
_cell_angle_gamma 90.00
_symmetry_space_group_name_H-M 'P 1'
_symmetry_Int_Tables_number 1
_symmetry_space_group_name_Hall 'P 1'
loop_
_atom_site_label
_atom_site_type_symbol
_atom_site_fract_x
_atom_site_fract_y
_atom_site_fract_z
_atom_site_occupancy
Li1 Li 0.000 0.000 0.500 1
Li2 Li 0.000 0.500 0.000 1
Li3 Li 0.500 0.000 0.000 1
B1 B 0.000 0.000 0.000 1
Pd1 Pd 0.500 0.500 0.500 1
```

Run 2
Li3BPd after structural relaxation, computed with PBE.

```
data_Li3BPd
_chemical_formula_sum 'Li3 B1 Pd1'
_cell_length_a 4.583
_cell_length_b 4.583
_cell_length_c 4.583
_cell_angle_alpha 90.00
_cell_angle_beta 90.00
_cell_angle_gamma 90.00
_symmetry_space_group_name_H-M 'P 1'
_symmetry_Int_Tables_number 1
_symmetry_space_group_name_Hall 'P 1'
loop_
_atom_site_label
_atom_site_type_symbol
_atom_site_fract_x
_atom_site_fract_y
_atom_site_fract_z
_atom_site_occupancy
Li1 Li 0.000 0.000 0.500 1
Li2 Li 0.000 0.500 0.000 1
Li3 Li 0.500 0.000 0.000 1
B1 B 0.500 0.500 0.500 1
Pd1 Pd 0.000 0.000 0.000 1
```

In terms of stability, run 1 leads; the second structure lies 37.2 kJ/mol of atoms higher.

Run 1
LiBPd5 after structural relaxation, computed with PBE.

```
data_LiBPd5
_chemical_formula_sum 'Li2 B2 Pd10'
_cell_length_a 6.722
_cell_length_b 6.722
_cell_length_c 6.722
_cell_angle_alpha 119.61
_cell_angle_beta 106.76
_cell_angle_gamma 102.56
_symmetry_space_group_name_H-M 'P 1'
_symmetry_Int_Tables_number 1
_symmetry_space_group_name_Hall 'P 1'
loop_
_atom_site_label
_atom_site_type_symbol
_atom_site_fract_x
_atom_site_fract_y
_atom_site_fract_z
_atom_site_occupancy
Li1 Li 0.368 0.118 0.250 1
Li2 Li 0.632 0.882 0.750 1
B1 B 0.000 0.500 0.500 1
B2 B 0.500 0.500 0.000 1
Pd1 Pd 0.000 0.202 0.202 1
Pd2 Pd 0.000 0.798 0.798 1
Pd3 Pd 0.152 0.733 0.419 1
Pd4 Pd 0.186 0.267 0.919 1
Pd5 Pd 0.328 0.578 0.750 1
Pd6 Pd 0.500 0.202 0.702 1
Pd7 Pd 0.500 0.798 0.298 1
Pd8 Pd 0.672 0.422 0.250 1
Pd9 Pd 0.814 0.733 0.081 1
Pd10 Pd 0.848 0.267 0.581 1
```

Run 2
LiBPd5 after structural relaxation, computed with PBE.

```
data_LiBPd5
_chemical_formula_sum 'Li1 B1 Pd5'
_cell_length_a 3.818
_cell_length_b 3.818
_cell_length_c 6.727
_cell_angle_alpha 90.00
_cell_angle_beta 90.00
_cell_angle_gamma 90.00
_symmetry_space_group_name_H-M 'P 1'
_symmetry_Int_Tables_number 1
_symmetry_space_group_name_Hall 'P 1'
loop_
_atom_site_label
_atom_site_type_symbol
_atom_site_fract_x
_atom_site_fract_y
_atom_site_fract_z
_atom_site_occupancy
Li1 Li 0.000 0.000 0.000 1
B1 B 0.500 0.500 0.500 1
Pd1 Pd 0.000 0.500 0.304 1
Pd2 Pd 0.000 0.500 0.696 1
Pd3 Pd 0.500 0.000 0.304 1
Pd4 Pd 0.500 0.000 0.696 1
Pd5 Pd 0.500 0.500 0.000 1
```

In terms of stability, run 2 leads; the second structure lies 12.4 kJ/mol of atoms higher.

Run 1
LiBPdPt after structural relaxation, computed with PBE.

```
data_LiBPdPt
_chemical_formula_sum 'Li1 B1 Pd1 Pt1'
_cell_length_a 2.785
_cell_length_b 5.556
_cell_length_c 5.556
_cell_angle_alpha 35.37
_cell_angle_beta 90.00
_cell_angle_gamma 90.00
_symmetry_space_group_name_H-M 'P 1'
_symmetry_Int_Tables_number 1
_symmetry_space_group_name_Hall 'P 1'
loop_
_atom_site_label
_atom_site_type_symbol
_atom_site_fract_x
_atom_site_fract_y
_atom_site_fract_z
_atom_site_occupancy
Li1 Li 0.000 0.000 0.000 1
B1 B 0.000 0.776 0.776 1
Pd1 Pd 0.500 0.351 0.351 1
Pt1 Pt 0.500 0.627 0.627 1
```

Run 2
LiBPdPt after structural relaxation, computed with PBE.

```
data_LiBPdPt
_chemical_formula_sum 'Li1 B1 Pd1 Pt1'
_cell_length_a 3.996
_cell_length_b 3.996
_cell_length_c 3.996
_cell_angle_alpha 60.00
_cell_angle_beta 60.00
_cell_angle_gamma 60.00
_symmetry_space_group_name_H-M 'P 1'
_symmetry_Int_Tables_number 1
_symmetry_space_group_name_Hall 'P 1'
loop_
_atom_site_label
_atom_site_type_symbol
_atom_site_fract_x
_atom_site_fract_y
_atom_site_fract_z
_atom_site_occupancy
Li1 Li 0.000 0.000 0.000 1
B1 B 0.500 0.500 0.500 1
Pd1 Pd 0.250 0.250 0.250 1
Pt1 Pt 0.750 0.750 0.750 1
```

In terms of stability, run 1 leads; the second structure lies 12.1 kJ/mol of atoms higher.

Run 1
LiBPd2Rh after structural relaxation, computed with PBE.

```
data_LiBPd2Rh
_chemical_formula_sum 'Li1 B1 Pd2 Rh1'
_cell_length_a 4.987
_cell_length_b 4.987
_cell_length_c 3.884
_cell_angle_alpha 90.00
_cell_angle_beta 90.00
_cell_angle_gamma 90.00
_symmetry_space_group_name_H-M 'P 1'
_symmetry_Int_Tables_number 1
_symmetry_space_group_name_Hall 'P 1'
loop_
_atom_site_label
_atom_site_type_symbol
_atom_site_fract_x
_atom_site_fract_y
_atom_site_fract_z
_atom_site_occupancy
Li1 Li 0.000 0.000 0.000 1
B1 B 0.500 0.500 0.000 1
Pd1 Pd 0.000 0.500 0.500 1
Pd2 Pd 0.500 0.000 0.500 1
Rh1 Rh 0.500 0.500 0.500 1
```

Run 2
LiBPd2Rh after structural relaxation, computed with PBE.

```
data_LiBPd2Rh
_chemical_formula_sum 'Li1 B1 Pd2 Rh1'
_cell_length_a 4.167
_cell_length_b 4.167
_cell_length_c 4.077
_cell_angle_alpha 90.00
_cell_angle_beta 90.00
_cell_angle_gamma 90.00
_symmetry_space_group_name_H-M 'P 1'
_symmetry_Int_Tables_number 1
_symmetry_space_group_name_Hall 'P 1'
loop_
_atom_site_label
_atom_site_type_symbol
_atom_site_fract_x
_atom_site_fract_y
_atom_site_fract_z
_atom_site_occupancy
Li1 Li 0.000 0.000 0.000 1
B1 B 0.500 0.500 0.500 1
Pd1 Pd 0.000 0.500 0.500 1
Pd2 Pd 0.500 0.000 0.500 1
Rh1 Rh 0.500 0.500 0.000 1
```

In terms of stability, run 2 leads; the second structure lies 97.2 kJ/mol of atoms higher.